No. 1
Ac3SeO3 PBE relaxed; formation energy from raw total energies = -2.95 eV per atom; mass density = 7.8 Mg/m³; D(E_F) = 1.10 states/eV/f.u.; ΔE to the lowest computed polymorph = 0 meV/atom; E_tot = -7.33 eV per atom
1.0
-0.447 -5.880 4.374
3.459 -6.211 -1.835
7.003 -1.768 4.500
Ac O Se
6 6 2
Direct
0.765 0.425 0.714
0.905 0.235 0.286
0.095 0.765 0.714
0.425 0.095 0.714
0.235 0.575 0.286
0.575 0.905 0.286
0.540 0.209 0.375
0.124 0.460 0.625
0.460 0.791 0.625
0.791 0.124 0.625
0.209 0.876 0.375
0.876 0.540 0.375
0.667 0.667 0.000
0.333 0.333 0.000


No. 2
AcSe2O5 PBE relaxed; formation energy from raw total energies = -1.49 eV per atom; mass density = 5.0 Mg/m³; D(E_F) = 1.99 states/eV/f.u.; E_tot = -5.97 eV per atom
1.0
-3.111 -0.576 -7.535
-5.107 -3.679 2.390
-5.992 9.457 1.751
O Se Ac
20 8 4
Direct
0.973 0.823 0.066
0.527 0.177 0.066
0.750 0.000 0.573
0.624 0.333 0.274
0.250 0.000 0.427
0.527 0.323 0.566
0.376 0.833 0.226
0.750 0.500 0.073
0.473 0.823 0.934
0.124 0.167 0.226
0.250 0.500 0.927
0.027 0.177 0.934
0.027 0.323 0.434
0.973 0.677 0.566
0.876 0.833 0.774
0.473 0.677 0.434
0.876 0.667 0.274
0.124 0.333 0.726
0.376 0.667 0.726
0.624 0.167 0.774
0.542 0.095 0.642
0.458 0.595 0.858
0.458 0.905 0.358
0.042 0.405 0.858
0.958 0.905 0.642
0.042 0.095 0.358
0.542 0.405 0.142
0.958 0.595 0.142
0.250 0.000 0.055
0.750 0.500 0.445
0.250 0.500 0.555
0.750 0.000 0.945


No. 3
AcSmSeO2 PBE relaxed; formation energy from raw total energies = -3.01 eV per atom; mass density = 7.7 Mg/m³; D(E_F) = 0.00 states/eV/f.u.; E_tot = -7.45 eV per atom
1.0
-2.375 -3.102 1.027
2.321 -0.708 3.230
-3.651 5.884 1.387
O Ac Sm Se
2 1 1 1
Direct
0.256 0.756 0.512
0.756 0.256 0.512
0.149 0.149 0.299
0.843 0.843 0.686
0.496 0.496 0.992


No. 4
SrAcSeO6 PBE relaxed; formation energy from raw total energies = -1.76 eV per atom; mass density = 5.7 Mg/m³; D(E_F) = 7.26 states/eV/f.u.; E_tot = -6.09 eV per atom
1.0
-2.342 2.587 -4.542
-5.672 -0.164 -0.781
-0.490 4.244 2.670
O Sr Se Ac
6 1 1 1
Direct
0.315 0.081 0.709
0.081 0.604 0.709
0.315 0.604 0.291
0.604 0.081 0.291
0.081 0.315 0.291
0.604 0.315 0.709
0.667 0.667 0.500
0.333 0.333 0.500
0.000 0.000 0.000


No. 5
SrAc2SeO8 PBE relaxed; formation energy from raw total energies = -1.93 eV per atom; mass density = 6.7 Mg/m³; D(E_F) = 1.46 states/eV/f.u.; E_tot = -6.35 eV per atom
1.0
5.543 0.000 0.000
-2.771 4.800 0.000
0.000 0.000 6.932
O Ac Sr Se
8 2 1 1
Direct
0.310 0.155 0.847
0.845 0.155 0.847
0.333 0.667 0.532
0.155 0.845 0.153
0.667 0.333 0.468
0.155 0.310 0.153
0.690 0.845 0.153
0.845 0.690 0.847
0.667 0.333 0.150
0.333 0.667 0.850
0.000 0.000 0.500
0.000 0.000 0.000


No. 6
Ac2TaSe2O4 PBE relaxed; formation energy from raw total energies = -2.18 eV per atom; mass density = 8.7 Mg/m³; D(E_F) = 4.24 states/eV/f.u.; E_tot = -7.39 eV per atom
1.0
-3.702 4.652 1.187
1.889 -3.296 4.725
5.567 1.344 -1.991
Se O Ta Ac
2 4 1 2
Direct
0.000 0.318 0.318
0.000 0.682 0.682
0.000 0.781 0.219
0.000 0.219 0.781
0.562 0.781 0.781
0.438 0.219 0.219
0.000 0.000 0.000
0.500 0.250 0.750
0.500 0.750 0.250


Question: Which of these has the lowest E_tot?
Answer: AcSmSeO2


Question: The highest mass density belongs to which entry?
Answer: Ac2TaSe2O4